The following is a DFT calculation (PBE) of a geometry-optimized RhAuCl structure.

Calculated values
Formation energy from raw total energies (meV/atom): 216
D(E_F) (states/eV per cell): 2.47
Energy relative to the lowest polymorph listed for this composition (meV per atom): 195

abc: 3.381 3.381 5.947
angles: 90.00 90.00 120.00
Atoms (fractional coordinates):
Cl 0.667 0.333 0.405
Rh 0.333 0.667 0.642
Au 0.000 0.000 0.953

---

The following is a DFT calculation (PBE) of a geometry-optimized RhAuCl2 structure.

Calculated values
Formation energy from raw total energies (meV/atom): 372
D(E_F) (states/eV per cell): 4.61
Energy relative to the lowest polymorph listed for this composition (meV per atom): 469

abc: 3.129 6.041 4.086
angles: 90.00 90.00 90.00
Atoms (fractional coordinates):
Cl 0.000 0.000 0.000
Cl 0.500 0.500 0.000
Au 0.000 0.500 0.500
Rh 0.500 0.000 0.500

---

What did the second record say?
The following is a DFT calculation (PBE) of a geometry-optimized RhAuCl2 structure.

Calculated values
Formation energy from raw total energies (meV/atom): 372
D(E_F) (states/eV per cell): 4.61
Energy relative to the lowest polymorph listed for this composition (meV per atom): 469

abc: 3.129 6.041 4.086
angles: 90.00 90.00 90.00
Atoms (fractional coordinates):
Cl 0.000 0.000 0.000
Cl 0.500 0.500 0.000
Au 0.000 0.500 0.500
Rh 0.500 0.000 0.500

---

Q: What is the formula in the second record?
A: RhAuCl2